No. 1
Compound: Al3Ag2
Source: Alexandria via LeMat-Bulk
Functional: PBE
Structure: optimized geometry

Properties
Its symmetry is Fddd. The calculation puts the energy relative to the elements at 0.035 eV/atom.

Cell and atoms, written as CIF:
```
data_Al3Ag2
_chemical_formula_sum 'Al6 Ag4'
_cell_length_a 8.716
_cell_length_b 7.517
_cell_length_c 5.591
_cell_angle_alpha 81.93
_cell_angle_beta 58.65
_cell_angle_gamma 39.43
_symmetry_space_group_name_H-M 'P 1'
_symmetry_Int_Tables_number 1
loop_
_symmetry_equiv_pos_as_xyz
'x,y,z'
loop_
_atom_site_label
_atom_site_fract_x
_atom_site_fract_y
_atom_site_fract_z
Al1 0.600 0.600 0.400
Al2 0.400 0.400 0.600
Al3 0.650 0.650 0.850
Al4 0.850 0.850 0.650
Al5 0.000 0.000 0.000
Al6 0.250 0.250 0.250
Ag1 0.056 0.056 0.444
Ag2 0.444 0.444 0.056
Ag3 0.194 0.194 0.806
Ag4 0.806 0.806 0.194
```



No. 2
Compound: Al3Ag
Source: Alexandria via LeMat-Bulk
Functional: PBE
Structure: optimized geometry

Properties
Its symmetry is P4/nmm. The calculation puts the energy relative to the elements at -0.003 eV/atom.

Cell and atoms, written as CIF:
```
data_Al3Ag
_chemical_formula_sum 'Al6 Ag2'
_cell_length_a 16.029
_cell_length_b 2.896
_cell_length_c 2.896
_cell_angle_alpha 90.00
_cell_angle_beta 90.00
_cell_angle_gamma 90.00
_symmetry_space_group_name_H-M 'P 1'
_symmetry_Int_Tables_number 1
loop_
_symmetry_equiv_pos_as_xyz
'x,y,z'
loop_
_atom_site_label
_atom_site_fract_x
_atom_site_fract_y
_atom_site_fract_z
Ag1 0.996 0.000 0.000
Ag2 0.379 0.500 0.500
Al1 0.123 0.500 0.500
Al2 0.252 0.000 0.000
Al3 0.505 0.000 0.000
Al4 0.627 0.500 0.500
Al5 0.748 0.000 0.000
Al6 0.870 0.500 0.500
```



No. 3
Compound: AlAg
Source: Alexandria via LeMat-Bulk
Functional: PBE
Structure: optimized geometry

Properties
Its symmetry is I4mm. The calculation puts the energy relative to the elements at -0.013 eV/atom.

Cell and atoms, written as CIF:
```
data_AlAg
_chemical_formula_sum 'Al6 Ag6'
_cell_length_a 4.076
_cell_length_b 12.621
_cell_length_c 4.076
_cell_angle_alpha 80.71
_cell_angle_beta 90.00
_cell_angle_gamma 99.29
_symmetry_space_group_name_H-M 'P 1'
_symmetry_Int_Tables_number 1
loop_
_symmetry_equiv_pos_as_xyz
'x,y,z'
loop_
_atom_site_label
_atom_site_fract_x
_atom_site_fract_y
_atom_site_fract_z
Ag1 0.999 0.999 0.001
Ag2 0.584 0.169 0.916
Ag3 0.169 0.339 0.831
Ag4 0.911 0.822 0.589
Ag5 0.499 0.999 0.501
Ag6 0.669 0.339 0.331
Al1 0.750 0.500 0.750
Al2 0.332 0.665 0.668
Al3 0.083 0.165 0.417
Al4 0.252 0.503 0.248
Al5 0.832 0.665 0.168
Al6 0.418 0.837 0.082
```



No. 4
Compound: Al5Ag3
Source: Alexandria via LeMat-Bulk
Functional: PBE
Structure: optimized geometry

Properties
Its symmetry is R-3m. The calculation puts the energy relative to the elements at -0.012 eV/atom.

Cell and atoms, written as CIF:
```
data_Al5Ag3
_chemical_formula_sum 'Al5 Ag3'
_cell_length_a 2.916
_cell_length_b 18.416
_cell_length_c 2.916
_cell_angle_alpha 90.00
_cell_angle_beta 120.00
_cell_angle_gamma 94.54
_symmetry_space_group_name_H-M 'P 1'
_symmetry_Int_Tables_number 1
loop_
_symmetry_equiv_pos_as_xyz
'x,y,z'
loop_
_atom_site_label
_atom_site_fract_x
_atom_site_fract_y
_atom_site_fract_z
Al1 0.750 0.126 0.375
Al2 0.250 0.374 0.125
Al3 0.749 0.623 0.874
Al4 0.500 0.750 0.250
Al5 0.251 0.877 0.626
Ag1 0.001 0.002 0.001
Ag2 0.500 0.250 0.750
Ag3 0.999 0.498 0.499
```



No. 5
Compound: Al3Ag2
Source: Alexandria via LeMat-Bulk
Functional: PBE
Structure: optimized geometry

Properties
Its symmetry is P-1. The calculation puts the energy relative to the elements at -0.013 eV/atom.

Cell and atoms, written as CIF:
```
data_Al3Ag2
_chemical_formula_sum 'Al6 Ag4'
_cell_length_a 5.177
_cell_length_b 7.287
_cell_length_c 5.107
_cell_angle_alpha 108.84
_cell_angle_beta 100.69
_cell_angle_gamma 69.69
_symmetry_space_group_name_H-M 'P 1'
_symmetry_Int_Tables_number 1
loop_
_symmetry_equiv_pos_as_xyz
'x,y,z'
loop_
_atom_site_label
_atom_site_fract_x
_atom_site_fract_y
_atom_site_fract_z
Ag1 0.006 0.997 0.996
Ag2 0.494 0.103 0.304
Ag3 0.496 0.311 0.898
Ag4 0.004 0.789 0.402
Al1 0.997 0.197 0.591
Al2 0.996 0.397 0.193
Al3 0.503 0.504 0.508
Al4 0.997 0.596 0.792
Al5 0.504 0.703 0.107
Al6 0.503 0.903 0.709
```



No. 6
Compound: Al5Ag3
Source: Alexandria via LeMat-Bulk
Functional: PBE
Structure: optimized geometry

Properties
Its symmetry is P1. The calculation puts the energy relative to the elements at 0.001 eV/atom.

Cell and atoms, written as CIF:
```
data_Al5Ag3
_chemical_formula_sum 'Al5 Ag3'
_cell_length_a 5.230
_cell_length_b 5.445
_cell_length_c 5.170
_cell_angle_alpha 88.89
_cell_angle_beta 102.94
_cell_angle_gamma 73.77
_symmetry_space_group_name_H-M 'P 1'
_symmetry_Int_Tables_number 1
loop_
_symmetry_equiv_pos_as_xyz
'x,y,z'
loop_
_atom_site_label
_atom_site_fract_x
_atom_site_fract_y
_atom_site_fract_z
Ag1 0.999 0.991 0.007
Ag2 0.501 0.120 0.252
Ag3 0.498 0.393 0.746
Al1 0.002 0.250 0.499
Al2 0.000 0.494 0.995
Al3 0.498 0.622 0.254
Al4 0.997 0.746 0.496
Al5 0.505 0.885 0.750
```



No. 7
Compound: AlAg
Source: Alexandria via LeMat-Bulk
Functional: PBE
Structure: optimized geometry

Properties
Its symmetry is Cmme. The calculation puts the energy relative to the elements at -0.024 eV/atom.

Cell and atoms, written as CIF:
```
data_AlAg
_chemical_formula_sum 'Al4 Ag4'
_cell_length_a 5.016
_cell_length_b 5.549
_cell_length_c 5.016
_cell_angle_alpha 90.00
_cell_angle_beta 77.49
_cell_angle_gamma 90.00
_symmetry_space_group_name_H-M 'P 1'
_symmetry_Int_Tables_number 1
loop_
_symmetry_equiv_pos_as_xyz
'x,y,z'
loop_
_atom_site_label
_atom_site_fract_x
_atom_site_fract_y
_atom_site_fract_z
Ag1 0.000 0.000 0.000
Ag2 0.000 0.272 0.500
Ag3 0.500 0.000 0.500
Ag4 0.500 0.728 0.000
Al1 0.000 0.500 0.000
Al2 0.000 0.766 0.500
Al3 0.500 0.234 0.000
Al4 0.500 0.500 0.500
```



No. 8
Compound: Al3Ag5
Source: Alexandria via LeMat-Bulk
Functional: PBE
Structure: optimized geometry

Properties
Its symmetry is P4mm. The calculation puts the energy relative to the elements at -0.020 eV/atom.

Cell and atoms, written as CIF:
```
data_Al3Ag5
_chemical_formula_sum 'Al3 Ag5'
_cell_length_a 16.148
_cell_length_b 2.918
_cell_length_c 2.918
_cell_angle_alpha 90.00
_cell_angle_beta 90.00
_cell_angle_gamma 90.00
_symmetry_space_group_name_H-M 'P 1'
_symmetry_Int_Tables_number 1
loop_
_symmetry_equiv_pos_as_xyz
'x,y,z'
loop_
_atom_site_label
_atom_site_fract_x
_atom_site_fract_y
_atom_site_fract_z
Ag1 0.994 0.000 0.000
Ag2 0.127 0.500 0.500
Ag3 0.260 0.000 0.000
Ag4 0.493 0.000 0.000
Ag5 0.628 0.500 0.500
Al1 0.376 0.500 0.500
Al2 0.748 0.000 0.000
Al3 0.874 0.500 0.500
```



No. 9
Compound: Al5Ag6
Source: Alexandria via LeMat-Bulk
Functional: PBE
Structure: optimized geometry

Properties
Its symmetry is P1. The calculation puts the energy relative to the elements at -0.028 eV/atom.

Cell and atoms, written as CIF:
```
data_Al5Ag6
_chemical_formula_sum 'Al5 Ag6'
_cell_length_a 2.970
_cell_length_b 7.616
_cell_length_c 8.448
_cell_angle_alpha 88.25
_cell_angle_beta 90.36
_cell_angle_gamma 100.82
_symmetry_space_group_name_H-M 'P 1'
_symmetry_Int_Tables_number 1
loop_
_symmetry_equiv_pos_as_xyz
'x,y,z'
loop_
_atom_site_label
_atom_site_fract_x
_atom_site_fract_y
_atom_site_fract_z
Ag1 0.995 0.991 0.991
Ag2 0.547 0.092 0.286
Ag3 0.634 0.272 0.805
Ag4 0.182 0.365 0.090
Ag5 0.275 0.557 0.626
Ag6 0.365 0.724 0.193
Al1 0.093 0.186 0.548
Al2 0.724 0.451 0.360
Al3 0.814 0.629 0.913
Al4 0.914 0.824 0.458
Al5 0.455 0.909 0.730
```



No. 10
Compound: Al5Ag
Source: Alexandria via LeMat-Bulk
Functional: PBE
Structure: optimized geometry

Properties
Its symmetry is Amm2. The calculation puts the energy relative to the elements at 0.038 eV/atom.

Cell and atoms, written as CIF:
```
data_Al5Ag
_chemical_formula_sum 'Al5 Ag1'
_cell_length_a 7.841
_cell_length_b 7.841
_cell_length_c 4.525
_cell_angle_alpha 90.00
_cell_angle_beta 90.00
_cell_angle_gamma 158.43
_symmetry_space_group_name_H-M 'P 1'
_symmetry_Int_Tables_number 1
loop_
_symmetry_equiv_pos_as_xyz
'x,y,z'
loop_
_atom_site_label
_atom_site_fract_x
_atom_site_fract_y
_atom_site_fract_z
Ag1 0.998 0.002 0.000
Al1 0.335 0.665 0.000
Al2 0.664 0.336 0.000
Al3 0.446 0.554 0.500
Al4 0.779 0.221 0.500
Al5 0.112 0.888 0.500
```



No. 11
Compound: Al3Ag
Source: Alexandria via LeMat-Bulk
Functional: PBE
Structure: optimized geometry

Properties
Its symmetry is C2/m. The calculation puts the energy relative to the elements at 0.035 eV/atom.

Cell and atoms, written as CIF:
```
data_Al3Ag
_chemical_formula_sum 'Al3 Ag1'
_cell_length_a 4.074
_cell_length_b 4.074
_cell_length_c 4.978
_cell_angle_alpha 113.62
_cell_angle_beta 113.62
_cell_angle_gamma 90.64
_symmetry_space_group_name_H-M 'P 1'
_symmetry_Int_Tables_number 1
loop_
_symmetry_equiv_pos_as_xyz
'x,y,z'
loop_
_atom_site_label
_atom_site_fract_x
_atom_site_fract_y
_atom_site_fract_z
Al1 0.250 0.750 0.500
Al2 0.500 0.500 0.000
Al3 0.750 0.250 0.500
Ag1 0.000 0.000 0.000
```



No. 12
Compound: AlAg
Source: Alexandria via LeMat-Bulk
Functional: PBE
Structure: optimized geometry

Properties
Its symmetry is C2/m. The calculation puts the energy relative to the elements at -0.040 eV/atom.

Cell and atoms, written as CIF:
```
data_AlAg
_chemical_formula_sum 'Al4 Ag4'
_cell_length_a 3.818
_cell_length_b 7.434
_cell_length_c 5.340
_cell_angle_alpha 81.47
_cell_angle_beta 110.94
_cell_angle_gamma 104.88
_symmetry_space_group_name_H-M 'P 1'
_symmetry_Int_Tables_number 1
loop_
_symmetry_equiv_pos_as_xyz
'x,y,z'
loop_
_atom_site_label
_atom_site_fract_x
_atom_site_fract_y
_atom_site_fract_z
Ag1 0.985 0.983 0.988
Ag2 0.747 0.118 0.376
Ag3 0.503 0.257 0.749
Ag4 0.265 0.392 0.137
Al1 0.003 0.496 0.509
Al2 0.749 0.621 0.877
Al3 0.501 0.754 0.248
Al4 0.247 0.879 0.616
```



E per entry: -3.351; -3.523; -3.310; -3.421; -3.399; -3.408; -3.321; -3.205; -3.285; -3.556; -3.485; -3.337 eV per atom